#w
Here is La3FeCu after structural relaxation from Alexandria. Energies are from GGA-PBE.

Lattice parameters (Å, degrees): 5.238 5.238 5.238 90.00 90.00 90.00
Space group Pm-3m (No. 221)
One atom of each set of equivalent atoms:
La: 0.000 0.000 0.500 (multiplicity 3)
Fe: 0.000 0.000 0.000 (multiplicity 1)
Cu: 0.500 0.500 0.500 (multiplicity 1)

## Properties
Theoretical density   6.19 g/cm3

=====

#x
Here is La3FeCu after structural relaxation from Alexandria. Energies are from GGA-PBE.

Lattice parameters (Å, degrees): 16.346 3.894 8.539 90.00 95.53 90.00
Space group Cm (No. 8)
One atom of each set of equivalent atoms:
La: 0.000 0.000 0.000 (multiplicity 2)
La: 0.035 0.500 0.619 (multiplicity 2)
La: 0.170 0.000 0.362 (multiplicity 2)
La: 0.209 0.500 0.993 (multiplicity 2)
La: 0.327 0.500 0.627 (multiplicity 2)
La: 0.366 0.000 0.258 (multiplicity 2)
Fe: 0.045 0.500 0.265 (multiplicity 2)
Fe: 0.491 0.500 0.354 (multiplicity 2)
Cu: 0.187 0.000 0.730 (multiplicity 2)
Cu: 0.348 0.000 0.890 (multiplicity 2)

## Properties
Theoretical density   6.58 g/cm3

=====

In order of decreasing stability: #x, #w.

=====

#w
Here is Li3FeCu after structural relaxation from Alexandria. Energies are from GGA-PBE.

Lattice parameters (Å, degrees): 4.467 4.467 4.467 90.00 90.00 90.00
Space group Pm-3m (No. 221)
One atom of each set of equivalent atoms:
Li: 0.000 0.000 0.500 (multiplicity 3)
Fe: 0.500 0.500 0.500 (multiplicity 1)
Cu: 0.000 0.000 0.000 (multiplicity 1)

## Properties
Theoretical density   2.61 g/cm3

=====

#x
Here is Li3FeCu after structural relaxation from Alexandria. Energies are from GGA-PBE.

Lattice parameters (Å, degrees): 4.656 4.656 4.656 90.00 90.00 90.00
Space group Pm-3m (No. 221)
One atom of each set of equivalent atoms:
Li: 0.000 0.000 0.500 (multiplicity 3)
Fe: 0.000 0.000 0.000 (multiplicity 1)
Cu: 0.500 0.500 0.500 (multiplicity 1)

## Properties
Theoretical density   2.31 g/cm3

=====

In order of decreasing stability: #w, #x.